The following is a DFT calculation (PBE with a Hubbard U) of CoGePb2O6 after structural relaxation.

Summary:
Calculated volume = 117.35 Å³/cell
Space group = R-3
Energy above the lowest structure with this stoichiometry = 0 meV/atom

The structure in extended XYZ format:
```
10
Lattice="2.767 1.598 4.424 -2.767 1.598 4.424 0.000 -3.195 4.424" Properties=species:S:1:pos:R:3 pbc="T T T"
Co 0.000 0.000 0.000
Ge 0.000 0.000 6.636
O -1.080 1.133 5.528
O 0.441 1.502 7.744
O 1.521 0.369 5.528
O -1.521 -0.369 7.744
O -0.441 -1.502 5.528
O 1.080 -1.133 7.744
Pb 0.000 0.000 3.390
Pb 0.000 0.000 9.882
```